[1]
The following is a GGA-PBE calculation of CoSiAgIr2 after structural relaxation, from Alexandria.

abc: 4.4204 4.7078 4.4204
angles: 90.00 90.00 90.00
Closest atoms and distances in Å follow each position.
Atoms (fractional coordinates):
Co 0.0000 0.0000 0.0000  4 Ir 2.21, 2 Ag 2.35
Ir 0.0000 0.0000 0.5000  2 Co 2.21
Ir 0.5000 0.0000 0.0000  2 Co 2.21
Si 0.5000 0.5000 0.5000  4 Ag 3.13, 8 Ir 3.23
Ag 0.0000 0.5000 0.0000  2 Co 2.35

Summary:
The value obtained for the energy relative to the elements, uncorrected is 6.77 eV/f.u. The calculation puts the energy at -5.2670 eV/atom. The crystal system is tetragonal.

=====

[2]
The following is a GGA-PBE calculation of SrCoAg2Ir after structural relaxation, from Alexandria.

abc: 5.4080 5.0510 5.4080
angles: 90.00 90.00 90.00
Closest atoms and distances in Å follow each position.
Atoms (fractional coordinates):
Sr 0.0000 0.0000 0.0000  2 Ir 2.53, 4 Ag 2.70
Ag 0.5000 0.0000 0.0000  2 Sr 2.70
Co 0.5000 0.5000 0.5000  8 Ag 3.70, 4 Ir 3.82
Ir 0.0000 0.5000 0.0000  2 Sr 2.53
Ag 0.0000 0.0000 0.5000  2 Sr 2.70

Summary:
The calculation puts the energy at -2.6482 eV/atom. The formation energy is 2.0220 eV/atom. The crystal system is tetragonal.

=====

[3]
The following is a GGA-PBE calculation of KCoAg after structural relaxation, from Alexandria.

abc: 6.3862 6.3862 6.3862
angles: 154.54 140.53 47.56
Closest atoms and distances in Å follow each position.
Atoms (fractional coordinates):
Ag 0.9426 0.9426 0.0000  4 Co 2.64, 2 Ag 2.81
Co 0.3927 0.3927 0.0000  4 Ag 2.64, 2 Co 2.81
K 0.6647 0.6647 0.0000  2 K 2.81

Summary:
The calculation puts the energy at -3.0571 eV/atom. The formation energy is 0.6277 eV/atom. The crystal system is orthorhombic.

=====

[4]
The following is a GGA-PBE calculation of KCoAg2 after structural relaxation, from Alexandria.

abc: 2.8336 5.3920 5.3598
angles: 90.00 90.00 90.00
Closest atoms and distances in Å follow each position.
Atoms (fractional coordinates):
K 0.0000 0.5000 0.5000  2 K 2.83, 4 Ag 3.03, 4 Co 3.05
Ag 0.5000 0.5000 0.0000  6 Ag 2.83-3.05, 4 K 3.03
Co 0.5000 0.0000 0.5000  2 Co 2.83, 4 Ag 3.03, 4 K 3.05
Ag 0.0000 0.0000 0.0000  6 Ag 2.83-3.05, 4 Co 3.03

Summary:
The calculation puts the energy at -2.7289 eV/atom. The formation energy is 0.7475 eV/atom. The crystal system is orthorhombic.